w.
VASP calculation (GGA-PBE) on a relaxed structure of CoCuSnW.

Cell lengths 6.227, 6.227, 6.227 Å; angles 90.00, 90.00, 90.00 degrees
Space group F-43m (No. 216)
Symmetry-distinct sites (fractional):
Co 0.000 0.000 0.000 x4
Cu 0.250 0.250 0.250 x4
Sn 0.250 0.250 0.750 x4
W 0.000 0.000 0.500 x4

Computed properties:
Calculated volume = 15.09 Å³/atom
Total moment = 8.5 μB per cell
ρ = 11.69 Mg/m³



x.
VASP calculation (GGA-PBE) on a relaxed structure of CoCuSnW.

Cell lengths 6.230, 6.230, 6.230 Å; angles 90.00, 90.00, 90.00 degrees
Space group F-43m (No. 216)
Symmetry-distinct sites (fractional):
Co 0.000 0.000 0.000 x4
Cu 0.250 0.250 0.750 x4
Sn 0.000 0.000 0.500 x4
W 0.250 0.250 0.250 x4

Computed properties:
Calculated volume = 15.12 Å³/atom
Total moment = 4.5 μB per cell
ρ = 11.67 Mg/m³



y.
VASP calculation (GGA-PBE) on a relaxed structure of CoCuSnW.

Cell lengths 6.154, 6.154, 6.154 Å; angles 90.00, 90.00, 90.00 degrees
Space group F-43m (No. 216)
Symmetry-distinct sites (fractional):
Co 0.000 0.000 0.000 x4
Cu 0.000 0.000 0.500 x4
Sn 0.250 0.250 0.750 x4
W 0.250 0.250 0.250 x4

Computed properties:
Calculated volume = 14.57 Å³/atom
Total moment = 6.4 μB per cell
ρ = 12.11 Mg/m³



It turns out y is the most stable, with the second structure 113 meV per atom higher.



w.
VASP calculation (GGA-PBE) on a relaxed structure of ZrCoCuSn.

Cell lengths 6.447, 6.447, 6.447 Å; angles 90.00, 90.00, 90.00 degrees
Space group F-43m (No. 216)
Symmetry-distinct sites (fractional):
Zr 0.000 0.000 0.000 x4
Co 0.250 0.250 0.250 x4
Cu 0.000 0.000 0.500 x4
Sn 0.250 0.250 0.750 x4

Computed properties:
Calculated volume = 16.75 Å³/atom
Total moment = 2.1 μB per cell
ρ = 8.24 Mg/m³



x.
VASP calculation (GGA-PBE) on a relaxed structure of ZrCoCuSn.

Cell lengths 6.409, 6.409, 6.409 Å; angles 90.00, 90.00, 90.00 degrees
Space group F-43m (No. 216)
Symmetry-distinct sites (fractional):
Zr 0.000 0.000 0.000 x4
Co 0.000 0.000 0.500 x4
Cu 0.250 0.250 0.250 x4
Sn 0.250 0.250 0.750 x4

Computed properties:
Calculated volume = 16.45 Å³/atom
Total moment = 1.5 μB per cell
ρ = 8.39 Mg/m³



It turns out x is the most stable, with the second structure 33 meV per atom higher.



w.
VASP calculation (GGA-PBE) on a relaxed structure of SrCoCuTe3.

Cell lengths 4.124, 13.384, 10.607 Å; angles 90.00, 90.00, 90.00 degrees
Space group Cmcm (No. 63)
Symmetry-distinct sites (fractional):
Sr 0.000 0.231 0.250 x4
Co 0.000 0.000 0.000 x4
Cu 0.000 0.455 0.750 x4
Te 0.000 0.069 0.750 x4
Te 0.000 0.375 0.528 x8

Computed properties:
Calculated volume = 24.39 Å³/atom
Total moment = 0.6 μB per cell
ρ = 6.73 Mg/m³



x.
VASP calculation (GGA-PBE) on a relaxed structure of SrCoCuTe3.

Cell lengths 8.088, 4.091, 9.260 Å; angles 90.00, 103.53, 90.00 degrees
Space group P2_1/m (No. 11)
Symmetry-distinct sites (fractional):
Sr 0.193 0.250 0.267 x2
Co 0.340 0.750 0.853 x2
Cu 0.063 0.250 0.577 x2
Te 0.135 0.250 0.877 x2
Te 0.267 0.750 0.559 x2
Te 0.456 0.750 0.133 x2

Computed properties:
Calculated volume = 24.83 Å³/atom
Total moment = 0.0 μB per cell
ρ = 6.61 Mg/m³



It turns out x is the most stable, with the second structure 70 meV per atom higher.



w.
VASP calculation (GGA-PBE) on a relaxed structure of TaTlCoCu.

Cell lengths 6.337, 6.337, 6.337 Å; angles 90.00, 90.00, 90.00 degrees
Space group F-43m (No. 216)
Symmetry-distinct sites (fractional):
Ta 0.000 0.000 0.000 x4
Tl 0.250 0.250 0.250 x4
Co 0.250 0.250 0.750 x4
Cu 0.000 0.000 0.500 x4

Computed properties:
Calculated volume = 15.90 Å³/atom
Total moment = 1.1 μB per cell
ρ = 13.26 Mg/m³



x.
VASP calculation (GGA-PBE) on a relaxed structure of TaTlCoCu.

Cell lengths 6.307, 6.307, 6.307 Å; angles 90.00, 90.00, 90.00 degrees
Space group F-43m (No. 216)
Symmetry-distinct sites (fractional):
Ta 0.000 0.000 0.000 x4
Tl 0.250 0.250 0.250 x4
Co 0.000 0.000 0.500 x4
Cu 0.250 0.250 0.750 x4

Computed properties:
Calculated volume = 15.68 Å³/atom
Total moment = 1.6 μB per cell
ρ = 13.44 Mg/m³



y.
VASP calculation (GGA-PBE) on a relaxed structure of TaTlCoCu.

Cell lengths 6.252, 6.252, 6.252 Å; angles 90.00, 90.00, 90.00 degrees
Space group F-43m (No. 216)
Symmetry-distinct sites (fractional):
Ta 0.000 0.000 0.000 x4
Tl 0.000 0.000 0.500 x4
Co 0.250 0.250 0.750 x4
Cu 0.250 0.250 0.250 x4

Computed properties:
Calculated volume = 15.27 Å³/atom
Total moment = 0.0 μB per cell
ρ = 13.80 Mg/m³



It turns out y is the most stable, with the second structure 246 meV per atom higher.



w.
VASP calculation (GGA-PBE) on a relaxed structure of YTaCoCu.

Cell lengths 6.373, 6.373, 6.373 Å; angles 90.00, 90.00, 90.00 degrees
Space group F-43m (No. 216)
Symmetry-distinct sites (fractional):
Y 0.000 0.000 0.000 x4
Ta 0.250 0.250 0.750 x4
Co 0.000 0.000 0.500 x4
Cu 0.250 0.250 0.250 x4

Computed properties:
Calculated volume = 16.18 Å³/atom
Total moment = 0.0 μB per cell
ρ = 10.07 Mg/m³



x.
VASP calculation (GGA-PBE) on a relaxed structure of YTaCoCu.

Cell lengths 6.462, 6.462, 6.462 Å; angles 90.00, 90.00, 90.00 degrees
Space group F-43m (No. 216)
Symmetry-distinct sites (fractional):
Y 0.000 0.000 0.000 x4
Ta 0.000 0.000 0.500 x4
Co 0.250 0.250 0.750 x4
Cu 0.250 0.250 0.250 x4

Computed properties:
Calculated volume = 16.87 Å³/atom
Total moment = 0.6 μB per cell
ρ = 9.66 Mg/m³



It turns out x is the most stable, with the second structure 200 meV per atom higher.



w.
VASP calculation (GGA-PBE) on a relaxed structure of TaZnCoCu.

Cell lengths 5.999, 5.999, 5.999 Å; angles 90.00, 90.00, 90.00 degrees
Space group F-43m (No. 216)
Symmetry-distinct sites (fractional):
Ta 0.000 0.000 0.000 x4
Zn 0.250 0.250 0.250 x4
Co 0.250 0.250 0.750 x4
Cu 0.000 0.000 0.500 x4

Computed properties:
Calculated volume = 13.50 Å³/atom
Total moment = 3.7 μB per cell
ρ = 11.35 Mg/m³



x.
VASP calculation (GGA-PBE) on a relaxed structure of TaZnCoCu.

Cell lengths 5.975, 5.975, 5.975 Å; angles 90.00, 90.00, 90.00 degrees
Space group F-43m (No. 216)
Symmetry-distinct sites (fractional):
Ta 0.000 0.000 0.000 x4
Zn 0.250 0.250 0.250 x4
Co 0.000 0.000 0.500 x4
Cu 0.250 0.250 0.750 x4

Computed properties:
Calculated volume = 13.33 Å³/atom
Total moment = 0.1 μB per cell
ρ = 11.48 Mg/m³



y.
VASP calculation (GGA-PBE) on a relaxed structure of TaZnCoCu.

Cell lengths 5.983, 5.983, 5.983 Å; angles 90.00, 90.00, 90.00 degrees
Space group F-43m (No. 216)
Symmetry-distinct sites (fractional):
Ta 0.000 0.000 0.000 x4
Zn 0.000 0.000 0.500 x4
Co 0.250 0.250 0.750 x4
Cu 0.250 0.250 0.250 x4

Computed properties:
Calculated volume = 13.38 Å³/atom
Total moment = 2.0 μB per cell
ρ = 11.44 Mg/m³



It turns out y is the most stable, with the second structure 119 meV per atom higher.



w.
VASP calculation (GGA-PBE) on a relaxed structure of UCoCu.

Cell lengths 5.938, 5.938, 5.938 Å; angles 90.00, 90.00, 90.00 degrees
Space group F-43m (No. 216)
Symmetry-distinct sites (fractional):
U 0.000 0.000 0.000 x4
Co 0.250 0.250 0.750 x4
Cu 0.000 0.000 0.500 x4

Computed properties:
Calculated volume = 17.44 Å³/atom
Total moment = 2.0 μB per cell
ρ = 11.44 Mg/m³



x.
VASP calculation (GGA-PBE) on a relaxed structure of UCoCu.

Cell lengths 6.141, 6.141, 6.141 Å; angles 90.00, 90.00, 90.00 degrees
Space group F-43m (No. 216)
Symmetry-distinct sites (fractional):
U 0.000 0.000 0.000 x4
Co 0.250 0.250 0.750 x4
Cu 0.250 0.250 0.250 x4

Computed properties:
Calculated volume = 19.30 Å³/atom
Total moment = 7.1 μB per cell
ρ = 10.34 Mg/m³



It turns out w is the most stable, with the second structure 463 meV per atom higher.



w.
VASP calculation (GGA-PBE) on a relaxed structure of YZnCoCu.

Cell lengths 6.351, 6.351, 6.351 Å; angles 90.00, 90.00, 90.00 degrees
Space group F-43m (No. 216)
Symmetry-distinct sites (fractional):
Y 0.000 0.000 0.000 x4
Zn 0.000 0.000 0.500 x4
Co 0.250 0.250 0.750 x4
Cu 0.250 0.250 0.250 x4

Computed properties:
Calculated volume = 16.01 Å³/atom
Total moment = 2.3 μB per cell
ρ = 7.18 Mg/m³



x.
VASP calculation (GGA-PBE) on a relaxed structure of YZnCoCu.

Cell lengths 6.397, 6.397, 6.397 Å; angles 90.00, 90.00, 90.00 degrees
Space group F-43m (No. 216)
Symmetry-distinct sites (fractional):
Y 0.000 0.000 0.000 x4
Zn 0.250 0.250 0.250 x4
Co 0.250 0.250 0.750 x4
Cu 0.000 0.000 0.500 x4

Computed properties:
Calculated volume = 16.36 Å³/atom
Total moment = 3.3 μB per cell
ρ = 7.02 Mg/m³



It turns out w is the most stable, with the second structure 111 meV per atom higher.